DFT (GGA-PBEsol) results for a geometry-optimized Ta2AgRu structure.

Output
ΔH_f (0 K) = 236 meV per atom
space-group type = R3m
ΔE to the lowest computed polymorph = 0.70 eV/f.u.

```
4
Lattice="1.439 0.831 9.258 -1.439 0.831 9.258 0.000 -1.662 9.258" Properties=species:S:1:pos:R:3 pbc="T T T"
Ta 0.000 0.000 0.000
Ta 0.000 0.000 6.771
Ag 0.000 0.000 20.918
Ru 0.000 0.000 14.009
```